The following is a DFT calculation (PBE) of crystalline Na6Hg3Pd at its relaxed geometry.

ΔE_f: -0.16 eV/atom
Uncorrected energy: -1.5574 eV/atom
Energy above the most stable polymorph in this dataset: 0 meV per atom
Calculated volume: 505 Å³/cell
Density of states at the Fermi level: 3.81 states/eV/f.u.

Geometry as extended XYZ:
```
20
Lattice="8.5924 0.0000 0.0000 0.0000 5.3401 0.0000 -3.3133 0.0000 11.0109" Properties=species:S:1:pos:R:3 pbc="T T T"
Na -1.1105 1.3350 3.7610
Na -0.5200 4.0051 1.8275
Na -0.2090 1.3350 7.0541
Na -1.1676 4.0051 10.7730
Na 2.1253 1.3350 4.5660
Na 1.0902 4.0051 8.9677
Na 4.1889 1.3350 2.0432
Na 3.1538 4.0051 6.4449
Na 6.4467 1.3350 0.2379
Na 5.4881 4.0051 3.9568
Na 5.7991 1.3350 9.1834
Na 6.3896 4.0051 7.2499
Hg 1.2429 1.3350 1.1651
Hg 0.2413 4.0051 5.0464
Hg 2.6737 4.0051 2.7827
Hg 2.6053 1.3350 8.2281
Hg 5.0378 1.3350 5.9644
Hg 4.0362 4.0051 9.8458
Pd 0.2280 1.3350 10.0994
Pd 5.0511 4.0051 0.9115
```

The following is a DFT calculation (PBE) of crystalline Tm2PuPa3P6 at its relaxed geometry.

ΔE_f: -1.39 eV/atom
Uncorrected energy: -8.4050 eV/atom
Calculated volume: 264 Å³/cell
Density of states at the Fermi level: 17.03 states/eV/f.u.

Geometry as extended XYZ:
```
12
Lattice="3.4358 -5.9552 0.0000 3.4358 5.9552 0.0000 -2.2927 0.0000 6.4488" Properties=species:S:1:pos:R:3 pbc="T T T"
Tm 3.4358 3.9697 0.0000
Tm 3.4358 -3.9697 0.0000
Pu 3.4358 0.0000 0.0000
Pa -1.1464 0.0000 3.2244
Pa 2.2895 1.9862 3.2244
Pa 2.2895 -1.9862 3.2244
P -0.0082 1.9972 4.8327
P 1.1313 0.0000 1.6119
P -0.0082 -1.9972 4.8327
P 4.5871 1.9972 1.6161
P 3.4476 0.0000 4.8369
P 4.5871 -1.9972 1.6161
```

The following is a DFT calculation (PBE) of crystalline Hg3PbBr at its relaxed geometry.

Uncorrected energy: -0.8198 eV/atom
E_form (uncorrected): 0.44 eV/atom
Energy above the most stable polymorph in this dataset: 445 meV per atom
Calculated volume: 196 Å³/cell
Density of states at the Fermi level: 4.22 states/eV/f.u.

Geometry as extended XYZ:
```
5
Lattice="5.8076 0.0000 0.0000 0.0000 5.8076 0.0000 0.0000 0.0000 5.8076" Properties=species:S:1:pos:R:3 pbc="T T T"
Hg 0.0000 0.0000 2.9038
Hg 0.0000 2.9038 0.0000
Hg 2.9038 0.0000 0.0000
Pb 2.9038 2.9038 2.9038
Br 0.0000 0.0000 0.0000
```

The following is a DFT calculation (PBE) of crystalline CdSiRu3 at its relaxed geometry.

Uncorrected energy: -6.2929 eV/atom
E_form (uncorrected): 0.54 eV/atom
Energy above the most stable polymorph in this dataset: 0 meV per atom
Calculated volume: 87 Å³/cell
Density of states at the Fermi level: 4.77 states/eV/f.u.

Geometry as extended XYZ:
```
5
Lattice="4.4253 0.0000 0.0000 0.0000 4.4253 0.0000 0.0000 0.0000 4.4253" Properties=species:S:1:pos:R:3 pbc="T T T"
Cd 0.0000 0.0000 0.0000
Si 2.2127 2.2127 2.2127
Ru 0.0000 2.2127 2.2127
Ru 2.2127 0.0000 2.2127
Ru 2.2127 2.2127 0.0000
```

The following is a DFT calculation (PBE) of crystalline LiPm3Cd4 at its relaxed geometry.

ΔE_f: -0.28 eV/atom
Uncorrected energy: -2.7589 eV/atom
Calculated volume: 209 Å³/cell
Density of states at the Fermi level: 8.40 states/eV/f.u.

Geometry as extended XYZ:
```
8
Lattice="3.7176 0.0000 0.0000 0.0000 3.7176 0.0000 0.0000 0.0000 15.1461" Properties=species:S:1:pos:R:3 pbc="T T T"
Li 0.0000 0.0000 0.0000
Pm 0.0000 0.0000 3.6102
Pm 0.0000 0.0000 7.5731
Pm 0.0000 0.0000 11.5360
Cd 1.8588 1.8588 1.5606
Cd 1.8588 1.8588 5.5993
Cd 1.8588 1.8588 9.5468
Cd 1.8588 1.8588 13.5856
```

The following is a DFT calculation (PBE) of crystalline SiTe2 at its relaxed geometry.

Uncorrected energy: -3.6273 eV/atom
E_form (uncorrected): 0.27 eV/atom
Calculated volume: 91 Å³/cell
Density of states at the Fermi level: 0.87 states/eV/f.u.

Geometry as extended XYZ:
```
3
Lattice="4.0773 0.0000 0.0000 -2.0387 3.5311 0.0000 0.0000 0.0000 6.3444" Properties=species:S:1:pos:R:3 pbc="T T T"
Si 0.0000 0.0000 0.0000
Te 2.0387 1.1770 1.7033
Te 2.0387 1.1770 4.6411
```

The following is a DFT calculation (PBE) of crystalline La3Y at its relaxed geometry.

ΔE_f: 0.10 eV/atom
Uncorrected energy: -5.2107 eV/atom
Calculated volume: 144 Å³/cell
Density of states at the Fermi level: 9.56 states/eV/f.u.

Geometry as extended XYZ:
```
4
Lattice="4.2959 0.0000 0.0000 0.0000 4.2959 0.0000 0.0000 0.0000 7.8132" Properties=species:S:1:pos:R:3 pbc="T T T"
La 0.0000 0.0000 0.0000
La 2.1479 2.1479 2.0590
La 2.1479 2.1479 5.7542
Y 0.0000 0.0000 3.9066
```

The following is a DFT calculation (PBE) of crystalline LaSc2Se at its relaxed geometry.

Uncorrected energy: -5.7293 eV/atom
E_form (uncorrected): -0.46 eV/atom
Calculated volume: 102 Å³/cell
Density of states at the Fermi level: 5.13 states/eV/f.u.

Geometry as extended XYZ:
```
4
Lattice="3.1145 -5.4112 0.0000 3.1145 5.4112 0.0000 -2.1850 0.0000 3.0184" Properties=species:S:1:pos:R:3 pbc="T T T"
La 0.0000 0.0000 0.0000
Sc 0.4648 2.7056 1.5092
Sc 0.4648 -2.7056 1.5092
Se 3.1145 0.0000 0.0000
```

The following is a DFT calculation (PBE) of crystalline KSrHgS2 at its relaxed geometry.

Uncorrected energy: -2.5008 eV/atom
E_form (uncorrected): -0.23 eV/atom
Energy above the most stable polymorph in this dataset: 707 meV per atom
Calculated volume: 160 Å³/cell
Density of states at the Fermi level: 1.43 states/eV/f.u.

Geometry as extended XYZ:
```
5
Lattice="5.4563 0.0000 0.0000 0.0000 5.4563 0.0000 0.0000 0.0000 5.3633" Properties=species:S:1:pos:R:3 pbc="T T T"
K 0.0000 0.0000 0.0000
Sr 2.7282 2.7282 0.0000
Hg 0.0000 0.0000 2.6817
S 0.0000 2.7282 2.6817
S 2.7282 0.0000 2.6817
```

The following is a DFT calculation (PBE) of crystalline Ba2CaCd10 at its relaxed geometry.

ΔE_f: -0.12 eV/atom
Uncorrected energy: -1.2731 eV/atom
Calculated volume: 864 Å³/cell
Density of states at the Fermi level: 9.77 states/eV/f.u.

Geometry as extended XYZ:
```
26
Lattice="7.0617 0.0000 0.0000 0.0000 19.1266 0.0000 0.0000 0.0000 6.3989" Properties=species:S:1:pos:R:3 pbc="T T T"
Ba 0.8261 3.1058 0.0000
Ba 2.7047 12.6691 0.0000
Ba 4.3569 6.4575 0.0000
Ba 6.2356 16.0207 0.0000
Ca 0.0000 9.5633 3.1995
Ca 3.5308 0.0000 3.1995
Cd 0.5033 14.8313 3.1995
Cd 0.5853 17.8429 3.1995
Cd 0.9032 6.6856 1.4649
Cd 0.9032 6.6856 4.9340
Cd 1.5353 12.2000 3.1995
Cd 1.9955 2.6367 3.1995
Cd 2.6276 16.2489 1.4649
Cd 2.6276 16.2489 4.9340
Cd 2.9456 8.2796 3.1995
Cd 3.0275 5.2681 3.1995
Cd 4.0341 13.8585 3.1995
Cd 4.1161 10.8470 3.1995
Cd 4.4340 2.8777 1.4649
Cd 4.4340 2.8777 4.9340
Cd 5.0661 16.4898 3.1995
Cd 5.5264 6.9265 3.1995
Cd 6.1585 12.4409 1.4649
Cd 6.1585 12.4409 4.9340
Cd 6.4764 1.2837 3.1995
Cd 6.5584 4.2952 3.1995
```

The following is a DFT calculation (PBE) of crystalline CaLaRh3 at its relaxed geometry.

ΔE_f: 0.49 eV/atom
Uncorrected energy: -5.3041 eV/atom
Energy above the most stable polymorph in this dataset: 137 meV per atom
Calculated volume: 113 Å³/cell
Density of states at the Fermi level: 8.51 states/eV/f.u.

Geometry as extended XYZ:
```
5
Lattice="4.8396 0.0000 0.0000 0.0000 4.8396 0.0000 0.0000 0.0000 4.8396" Properties=species:S:1:pos:R:3 pbc="T T T"
Ca 0.0000 0.0000 0.0000
La 2.4198 2.4198 2.4198
Rh 0.0000 0.0000 2.4198
Rh 0.0000 2.4198 0.0000
Rh 2.4198 0.0000 0.0000
```

The following is a DFT calculation (PBE) of crystalline Fe4C at its relaxed geometry.

ΔE_f: 1.14 eV/atom
Uncorrected energy: -7.4792 eV/atom
Energy above the most stable polymorph in this dataset: 1019 meV per atom
Calculated volume: 56 Å³/cell
Density of states at the Fermi level: 5.26 states/eV/f.u.

Geometry as extended XYZ:
```
5
Lattice="-1.4693 1.4693 6.4700 1.4693 -1.4693 6.4700 1.4693 1.4693 -6.4700" Properties=species:S:1:pos:R:3 pbc="T T T"
Fe 0.0000 0.0000 1.1292
Fe 1.4693 0.0000 3.2350
Fe 0.0000 1.4693 3.2350
Fe 0.0000 0.0000 11.8109
C 0.0000 0.0000 6.4700
```